No. 1
Density functional theory data (PBE) for an optimized crystal structure of HgBrN2.

Summary:
Its formation energy without anion corrections is 1.886 eV per atom. As for the final energy: -2.770 eV/atom. Its calculated volume is 17.1 Å³/atom. The excess energy over the best structure of this formula in the dataset comes out at 2033 meV/atom. Its density of states at the Fermi level is 1.68 states/eV per cell. The calculated density is 7.48 Mg/m³. As for the space-group type: I-42d (122).

Cell: 6.7411 6.7411 6.7411 Å, 137.75 137.75 61.28°
Last column: nearest neighbours and their distance in Å.
Fractional positions:
Hg: 0.0000 0.0000 0.0000  4 N 2.37
Hg: 0.7500 0.2500 0.5000  4 N 2.37
Br: 0.2500 0.7500 0.5000  4 N 2.14
Br: 0.5000 0.5000 0.0000  4 N 2.14
N: 0.1674 0.6250 0.0424  2 Br 2.14, 2 Hg 2.37
N: 0.3750 0.4174 0.5424  2 Br 2.14, 2 Hg 2.37
N: 0.5826 0.1250 0.9576  2 Br 2.14, 2 Hg 2.37
N: 0.8750 0.8326 0.4576  2 Br 2.14, 2 Hg 2.37

***

No. 2
Density functional theory data (PBE) for an optimized crystal structure of HgBrN2.

Summary:
Its formation energy without anion corrections is -0.147 eV per atom. As for the final energy: -4.804 eV/atom. Its calculated volume is 35.9 Å³/atom. The excess energy over the best structure of this formula in the dataset comes out at 0 meV/atom. Its density of states at the Fermi level is 0.00 states/eV per cell. The calculated density is 3.56 Mg/m³. As for the space-group type: P-1 (2).

Cell: 4.1806 6.7280 10.7370 Å, 72.65 85.63 88.18°
Last column: nearest neighbours and their distance in Å.
Fractional positions:
Hg: 0.0000 0.0000 0.0000  2 Hg 3.36
Hg: 0.0000 0.5000 0.0000  2 Br 2.49
Br: 0.3380 0.4036 0.1903  1 Hg 2.49
Br: 0.6620 0.5964 0.8097  1 Hg 2.49
N: 0.2889 0.7730 0.4616  1 N 1.11
N: 0.4580 0.8131 0.3726  1 N 1.11
N: 0.5420 0.1869 0.6274  1 N 1.11
N: 0.7111 0.2270 0.5384  1 N 1.11

***

No. 3
Density functional theory data (PBE) for an optimized crystal structure of HgBr2N.

Summary:
Its formation energy without anion corrections is 0.988 eV per atom. As for the final energy: -2.005 eV/atom. Its calculated volume is 32.9 Å³/atom. The excess energy over the best structure of this formula in the dataset comes out at 223 meV/atom. The calculated density is 4.72 Mg/m³. As for the space-group type: C2/m (12).

Cell: 7.5709 7.5709 9.9321 Å, 115.24 115.24 31.05°
Last column: nearest neighbours and their distance in Å.
Fractional positions:
Hg: 0.1432 0.1432 0.3176  1 N 2.52, 2 Br 2.74
Hg: 0.8568 0.8568 0.6824  1 N 2.52, 2 Br 2.74
Br: 0.2024 0.2024 0.6310  3 Hg 2.84-2.90
Br: 0.4980 0.4980 0.7750  2 Hg 2.74
Br: 0.5020 0.5020 0.2250  2 Hg 2.74
Br: 0.7976 0.7976 0.3690  3 Hg 2.84-2.90
N: 0.1369 0.1369 0.0604  1 Hg 2.52
N: 0.8631 0.8631 0.9396  1 Hg 2.52

***

No. 4
Density functional theory data (PBE) for an optimized crystal structure of HgBrN2.

Summary:
Its formation energy without anion corrections is 1.833 eV per atom. As for the final energy: -2.823 eV/atom. Its calculated volume is 17.1 Å³/atom. The excess energy over the best structure of this formula in the dataset comes out at 1981 meV/atom. Its density of states at the Fermi level is 1.13 states/eV per cell. The calculated density is 7.50 Mg/m³. As for the space-group type: R-3m (166).

Cell: 6.4593 6.4593 6.4593 Å, 32.28 32.28 32.28°
Last column: nearest neighbours and their distance in Å.
Fractional positions:
Hg: 0.0000 0.0000 0.0000  2 N 2.09
Br: 0.5000 0.5000 0.5000  6 N 2.29
N: 0.1136 0.1136 0.1136  1 Hg 2.09, 3 Br 2.29
N: 0.8864 0.8864 0.8864  1 Hg 2.09, 3 Br 2.29

***

No. 5
Density functional theory data (PBE) for an optimized crystal structure of HgBr2N.

Summary:
Its formation energy without anion corrections is 0.765 eV per atom. As for the final energy: -2.228 eV/atom. Its calculated volume is 28.9 Å³/atom. The excess energy over the best structure of this formula in the dataset comes out at 0 meV/atom. Its density of states at the Fermi level is 6.45 states/eV per cell. The calculated density is 5.38 Mg/m³. As for the space-group type: I4_1/amd (141).

Cell: 6.8923 6.8923 6.8923 Å, 120.12 120.12 89.79°
Last column: nearest neighbours and their distance in Å.
Fractional positions:
Hg: 0.3750 0.6250 0.7500  12 Br 4.04-4.05, 4 Hg 4.22, 4 N 4.22
Hg: 0.6250 0.3750 0.2500  12 Br 4.04-4.05, 4 Hg 4.22, 4 N 4.22
Br: 0.0000 0.0000 0.0000  2 N 2.11
Br: 0.0000 0.0000 0.5000  2 N 2.11
Br: 0.0000 0.5000 0.0000  2 N 2.11
Br: 0.5000 0.0000 0.5000  2 N 2.11
N: 0.1250 0.8750 0.2500  4 Br 2.11
N: 0.8750 0.1250 0.7500  4 Br 2.11

***

No. 6
Density functional theory data (PBE) for an optimized crystal structure of HgBr3N.

Summary:
Its formation energy without anion corrections is 0.861 eV per atom. As for the final energy: -1.868 eV/atom. Its calculated volume is 22.1 Å³/atom. The excess energy over the best structure of this formula in the dataset comes out at 84 meV/atom. Its density of states at the Fermi level is 2.74 states/eV per cell. The calculated density is 6.83 Mg/m³. As for the space-group type: Pm-3m (221).

Cell: 4.7973 4.7973 4.7973 Å, 90.00 90.00 90.00°
Last column: nearest neighbours and their distance in Å.
Fractional positions:
Hg: 0.0000 0.0000 0.0000  12 Br 3.39
Br: 0.0000 0.5000 0.5000  2 N 2.40
Br: 0.5000 0.0000 0.5000  2 N 2.40
Br: 0.5000 0.5000 0.0000  2 N 2.40
N: 0.5000 0.5000 0.5000  6 Br 2.40

***

No. 7
Density functional theory data (PBE) for an optimized crystal structure of Hg2BrN.

Summary:
Its formation energy without anion corrections is 0.234 eV per atom. As for the final energy: -2.417 eV/atom. Its calculated volume is 28.6 Å³/atom. The excess energy over the best structure of this formula in the dataset comes out at 0 meV/atom. The calculated density is 7.19 Mg/m³. As for the space-group type: P6_3/mmc (194).

Cell: 6.7762 6.7762 11.5008 Å, 90.00 90.00 120.00°
Last column: nearest neighbours and their distance in Å.
Fractional positions:
Hg: 0.0000 0.5000 0.0000  2 N 2.11
Hg: 0.0000 0.5000 0.5000  2 N 2.11
Hg: 0.3333 0.6667 0.2500  2 N 2.08
Hg: 0.5000 0.0000 0.0000  2 N 2.11
Hg: 0.5000 0.0000 0.5000  2 N 2.11
Hg: 0.5000 0.5000 0.0000  2 N 2.11
Hg: 0.5000 0.5000 0.5000  2 N 2.11
Hg: 0.6667 0.3333 0.7500  2 N 2.08
Br: 0.0000 0.0000 0.0000  6 Hg 3.39
Br: 0.0000 0.0000 0.5000  6 Hg 3.39
Br: 0.3333 0.6667 0.7500  6 Hg 3.48, 2 N 3.67
Br: 0.6667 0.3333 0.2500  6 Hg 3.48, 2 N 3.67
N: 0.3333 0.6667 0.0692  4 Hg 2.08-2.11
N: 0.3333 0.6667 0.4308  4 Hg 2.08-2.11
N: 0.6667 0.3333 0.5692  4 Hg 2.08-2.11
N: 0.6667 0.3333 0.9308  4 Hg 2.08-2.11

***

No. 8
Density functional theory data (PBE) for an optimized crystal structure of Hg3BrN.

Summary:
Its formation energy without anion corrections is 1.618 eV per atom. As for the final energy: -0.563 eV/atom. Its calculated volume is 40.8 Å³/atom. The excess energy over the best structure of this formula in the dataset comes out at 1310 meV/atom. Its density of states at the Fermi level is 11.29 states/eV per cell. The calculated density is 5.66 Mg/m³. As for the space-group type: Pm-3m (221).

Cell: 5.8869 5.8869 5.8869 Å, 90.00 90.00 90.00°
Last column: nearest neighbours and their distance in Å.
Fractional positions:
Hg: 0.0000 0.0000 0.5000  2 Br 2.94
Hg: 0.0000 0.5000 0.0000  2 Br 2.94
Hg: 0.5000 0.0000 0.0000  2 Br 2.94
Br: 0.0000 0.0000 0.0000  6 Hg 2.94
N: 0.5000 0.5000 0.5000  12 Hg 4.16

***

Number 7 is which compound? Hg2BrN